First-principles (PBE-GGA) data for a geometry-optimized AsPdSeBr2 structure, as listed in Alexandria via LeMat-Bulk.

Calculated values
Formation energy from raw total energies in meV per atom: 779
Energy above the lowest structure with this stoichiometry in meV/atom: 362
Energy in eV per formula unit: -12.777

```
AsPdSeBr2
1.0
5.244 0.000 0.000
0.000 5.244 0.000
0.000 0.000 5.268
As Pd Se Br
1 1 1 2
Direct
0.000 0.000 0.000
0.500 0.500 0.000
0.000 0.000 0.500
0.000 0.500 0.500
0.500 0.000 0.500
```


First-principles (PBE-GGA) data for a geometry-optimized Na3ZrW structure, as listed in Alexandria via LeMat-Bulk.

Calculated values
E_form in kJ/mol of formula units: 1306
Energy above the lowest structure with this stoichiometry in meV/atom: 388
Energy in eV per formula unit: -11.922

```
Na3ZrW
1.0
5.225 0.000 0.000
0.000 5.225 0.000
0.000 0.000 5.225
Na Zr W
3 1 1
Direct
0.000 0.000 0.500
0.000 0.500 0.000
0.500 0.000 0.000
0.000 0.000 0.000
0.500 0.500 0.500
```


First-principles (PBE-GGA) data for a geometry-optimized MnTlTeCl2 structure, as listed in Alexandria via LeMat-Bulk.

Calculated values
Formation energy from raw total energies in meV per atom: -616
Energy above the lowest structure with this stoichiometry in meV/atom: 20
Energy in eV per formula unit: -21.451

```
MnTlTeCl2
1.0
4.868 0.000 0.000
0.000 4.868 0.000
0.000 0.000 5.706
Mn Tl Te Cl
1 1 1 2
Direct
0.000 0.000 0.000
0.500 0.500 0.500
0.000 0.000 0.500
0.000 0.500 0.000
0.500 0.000 0.000
```


First-principles (PBE-GGA) data for a geometry-optimized Pm2SnC structure, as listed in Alexandria via LeMat-Bulk.

Calculated values
E_form in kJ/mol of formula units: -43
Energy above the lowest structure with this stoichiometry in meV/atom: 5
Energy in eV per formula unit: -23.169

```
Pm2SnC
1.0
1.948 -7.784 0.000
1.948 7.784 0.000
0.000 0.000 7.139
Pm Sn C
4 2 2
Direct
0.000 0.000 0.000
0.000 0.000 0.500
0.312 0.688 0.750
0.688 0.312 0.250
0.366 0.634 0.250
0.634 0.366 0.750
0.103 0.897 0.250
0.897 0.103 0.750
```


First-principles (PBE-GGA) data for a geometry-optimized Dy2YHo2Er2 structure, as listed in Alexandria via LeMat-Bulk.

Calculated values
E_form in kJ/mol of formula units: 96
Energy in eV per formula unit: -32.955

```
Dy2YHo2Er2
1.0
2.814 1.624 8.087
-2.814 1.624 8.087
0.000 -3.249 8.087
Dy Y Ho Er
2 1 2 2
Direct
0.143 0.143 0.143
0.857 0.857 0.857
0.000 0.000 0.000
0.427 0.427 0.427
0.573 0.573 0.573
0.285 0.285 0.285
0.715 0.715 0.715
```


First-principles (PBE-GGA) data for a geometry-optimized MgGaNiPt structure, as listed in Alexandria via LeMat-Bulk.

Calculated values
E_form in kJ/mol of formula units: -218
Energy above the lowest structure with this stoichiometry in meV/atom: 0
Energy in eV per formula unit: -18.702

```
MgGaNiPt
1.0
-2.009 2.009 3.540
2.009 -2.009 3.540
2.009 2.009 -3.540
Mg Ga Ni Pt
1 1 1 1
Direct
0.000 0.000 0.000
0.500 0.500 0.000
0.750 0.250 0.500
0.250 0.750 0.500
```


First-principles (PBE-GGA) data for a geometry-optimized Pm2Be2Ga3 structure, as listed in Alexandria via LeMat-Bulk.

Calculated values
E_form in kJ/mol of formula units: -275
Energy in eV per formula unit: -28.881

```
Pm2Be2Ga3
1.0
2.142 -9.190 0.000
2.142 9.190 0.000
0.000 0.000 6.737
Pm Be Ga
4 4 6
Direct
0.050 0.950 0.750
0.166 0.834 0.250
0.834 0.166 0.750
0.950 0.050 0.250
0.320 0.680 0.082
0.320 0.680 0.418
0.680 0.320 0.582
0.680 0.320 0.918
0.220 0.780 0.750
0.436 0.564 0.566
0.436 0.564 0.934
0.564 0.436 0.066
0.564 0.436 0.434
0.780 0.220 0.250
```


First-principles (PBE-GGA) data for a geometry-optimized FePIr2Ru structure, as listed in Alexandria via LeMat-Bulk.

Calculated values
E_form in kJ/mol of formula units: 772
Energy in eV per formula unit: -32.869

```
FePIr2Ru
1.0
4.472 0.000 0.000
0.000 4.472 0.000
0.000 0.000 4.327
Fe P Ir Ru
1 1 2 1
Direct
0.000 0.000 0.000
0.500 0.500 0.500
0.000 0.500 0.000
0.500 0.000 0.000
0.000 0.000 0.500
```


no.,magnetic moment (μB per cell)
1,1.42
2,1.00
3,4.25
4,0.00
5,0.09
6,0.00
7,0.00
8,0.00